! Nd12As3H5 (PBE, relaxed); values from VASP
! Volume in Å³/cell: 1957.7
! Total moment in Bohr magnetons per cell: 0.01
! E_tot in eV/atom: -4.91
! SG: No. 230
! Mass density in Mg/m³: 6.7
&SYSTEM
  ibrav = 0, nat = 80, ntyp = 3
/
ATOMIC_SPECIES
H 1.01 H.upf
As 74.92 As.upf
Nd 144.24 Nd.upf
CELL_PARAMETERS angstrom
13.650 0.000 0.000
-4.550 12.869 0.000
-4.550 -6.435 11.145
ATOMIC_POSITIONS crystal
H 0.125 0.375 0.250
H 0.000 0.500 0.000
H 0.000 0.000 0.000
H 0.375 0.250 0.125
H 0.500 0.000 0.500
H 0.500 0.500 0.000
H 0.125 0.750 0.375
H 0.750 0.125 0.875
H 0.750 0.625 0.375
H 0.375 0.125 0.750
H 0.625 0.875 0.250
H 0.500 0.500 0.500
H 0.500 0.000 0.000
H 0.000 0.000 0.500
H 0.250 0.375 0.625
H 0.250 0.875 0.125
H 0.000 0.500 0.500
H 0.875 0.250 0.625
H 0.625 0.750 0.875
H 0.875 0.625 0.750
As 0.750 0.375 0.125
As 0.875 0.750 0.125
As 0.375 0.750 0.625
As 0.250 0.125 0.375
As 0.875 0.125 0.250
As 0.375 0.625 0.250
As 0.625 0.375 0.750
As 0.125 0.875 0.750
As 0.750 0.875 0.625
As 0.625 0.250 0.375
As 0.125 0.250 0.875
As 0.250 0.625 0.875
Nd 0.715 0.118 0.025
Nd 0.309 0.525 0.407
Nd 0.975 0.382 0.285
Nd 0.525 0.215 0.118
Nd 0.598 0.715 0.691
Nd 0.975 0.593 0.191
Nd 0.309 0.785 0.402
Nd 0.093 0.902 0.118
Nd 0.593 0.975 0.691
Nd 0.715 0.598 0.191
Nd 0.785 0.475 0.382
Nd 0.809 0.907 0.025
Nd 0.118 0.715 0.525
Nd 0.382 0.407 0.098
Nd 0.098 0.907 0.382
Nd 0.402 0.118 0.593
Nd 0.098 0.191 0.215
Nd 0.475 0.691 0.093
Nd 0.809 0.902 0.285
Nd 0.118 0.402 0.093
Nd 0.382 0.975 0.785
Nd 0.593 0.618 0.402
Nd 0.907 0.809 0.525
Nd 0.785 0.309 0.902
Nd 0.407 0.382 0.598
Nd 0.093 0.191 0.475
Nd 0.215 0.691 0.098
Nd 0.191 0.098 0.715
Nd 0.618 0.025 0.215
Nd 0.882 0.598 0.907
Nd 0.525 0.309 0.907
Nd 0.598 0.882 0.407
Nd 0.902 0.809 0.785
Nd 0.902 0.093 0.618
Nd 0.882 0.285 0.475
Nd 0.191 0.093 0.975
Nd 0.618 0.593 0.902
Nd 0.407 0.025 0.309
Nd 0.285 0.402 0.809
Nd 0.215 0.525 0.618
Nd 0.907 0.098 0.882
Nd 0.691 0.215 0.598
Nd 0.475 0.785 0.882
Nd 0.025 0.407 0.809
Nd 0.402 0.285 0.309
Nd 0.025 0.618 0.715
Nd 0.691 0.475 0.593
Nd 0.285 0.882 0.975

---

! Nd3As2H (PBE, relaxed); values from VASP
! Volume in Å³/cell: 305.4
! Total moment in Bohr magnetons per cell: 0.00
! E_tot in eV/atom: -5.54
! SG: No. 15
! Mass density in Mg/m³: 6.3
&SYSTEM
  ibrav = 0, nat = 12, ntyp = 3
/
ATOMIC_SPECIES
Nd 144.24 Nd.upf
As 74.92 As.upf
H 1.01 H.upf
CELL_PARAMETERS angstrom
-5.899 -0.143 -0.444
-0.398 -4.842 6.855
2.662 6.297 2.034
ATOMIC_POSITIONS crystal
Nd 0.473 0.250 0.000
Nd 0.527 0.750 0.000
Nd 0.167 0.084 0.335
Nd 0.832 0.416 0.665
Nd 0.168 0.584 0.335
Nd 0.833 0.916 0.665
As 0.670 0.584 0.338
As 0.668 0.084 0.338
As 0.332 0.916 0.662
As 0.330 0.416 0.662
H 0.954 0.750 0.000
H 0.046 0.250 0.000

---

! NdAsH (PBE, relaxed); values from VASP
! Volume in Å³/cell: 56.8
! Total moment in Bohr magnetons per cell: 0.00
! SG: No. 187
! E above lowest polymorph in meV per atom: 98.1
! Mass density in Mg/m³: 6.4
&SYSTEM
  ibrav = 0, nat = 3, ntyp = 3
/
ATOMIC_SPECIES
H 1.01 H.upf
As 74.92 As.upf
Nd 144.24 Nd.upf
CELL_PARAMETERS angstrom
4.380 0.000 0.000
0.000 3.869 0.000
0.000 -1.934 3.350
ATOMIC_POSITIONS crystal
H 0.167 0.000 0.000
As 0.667 0.333 0.667
Nd 0.167 0.667 0.333

---

! NdAsH (PBE, relaxed); values from VASP
! Volume in Å³/cell: 118.7
! Total moment in Bohr magnetons per cell: 0.00
! SG: No. 2
! E above lowest polymorph in meV per atom: 0.0
! Mass density in Mg/m³: 6.2
&SYSTEM
  ibrav = 0, nat = 6, ntyp = 3
/
ATOMIC_SPECIES
Nd 144.24 Nd.upf
As 74.92 As.upf
H 1.01 H.upf
CELL_PARAMETERS angstrom
-0.570 -3.192 2.644
4.471 -3.592 -0.086
5.310 1.537 2.983
ATOMIC_POSITIONS crystal
Nd 0.392 0.718 0.691
Nd 0.967 0.571 0.206
As 0.662 0.185 0.626
As 0.698 0.104 0.270
H 0.376 0.753 0.033
H 0.983 0.536 0.863

---

! Nd4As2H (PBE, relaxed); values from VASP
! Volume in Å³/cell: 171.6
! Total moment in Bohr magnetons per cell: 0.00
! E_tot in eV/atom: -5.33
! SG: No. 139
! Mass density in Mg/m³: 7.0
&SYSTEM
  ibrav = 0, nat = 7, ntyp = 3
/
ATOMIC_SPECIES
H 1.01 H.upf
As 74.92 As.upf
Nd 144.24 Nd.upf
CELL_PARAMETERS angstrom
4.435 0.000 0.000
0.000 4.435 0.000
2.218 2.218 8.724
ATOMIC_POSITIONS crystal
H 0.000 0.000 0.000
As 0.148 0.148 0.705
As 0.852 0.852 0.295
Nd 0.322 0.322 0.356
Nd 0.678 0.678 0.644
Nd 0.000 0.500 0.000
Nd 0.500 0.000 0.000

---

! NdAsH (PBE, relaxed); values from VASP
! Volume in Å³/cell: 112.9
! Total moment in Bohr magnetons per cell: 0.00
! SG: No. 24
! E above lowest polymorph in meV per atom: 302.5
! Mass density in Mg/m³: 6.5
&SYSTEM
  ibrav = 0, nat = 6, ntyp = 3
/
ATOMIC_SPECIES
H 1.01 H.upf
As 74.92 As.upf
Nd 144.24 Nd.upf
CELL_PARAMETERS angstrom
-0.184 2.976 -3.472
-4.750 -0.115 -2.864
-0.771 5.273 1.544
ATOMIC_POSITIONS crystal
H 0.750 0.866 0.134
H 0.250 0.634 0.366
As 0.751 0.250 0.250
As 0.749 0.750 0.750
Nd 0.259 0.491 0.991
Nd 0.241 0.009 0.509

---

! Nd4As3H (PBE, relaxed); values from VASP
! Volume in Å³/cell: 422.6
! Total moment in Bohr magnetons per cell: 0.00
! E_tot in eV/atom: -5.70
! SG: No. 31
! Mass density in Mg/m³: 6.3
&SYSTEM
  ibrav = 0, nat = 16, ntyp = 3
/
ATOMIC_SPECIES
Nd 144.24 Nd.upf
As 74.92 As.upf
H 1.01 H.upf
CELL_PARAMETERS angstrom
-3.111 -2.082 4.646
4.897 0.269 3.399
-2.777 11.110 3.120
ATOMIC_POSITIONS crystal
Nd 0.066 0.787 0.000
Nd 0.601 0.249 0.000
Nd 0.067 0.249 0.256
Nd 0.567 0.751 0.244
Nd 0.101 0.751 0.500
Nd 0.566 0.213 0.500
Nd 0.567 0.751 0.756
Nd 0.067 0.249 0.744
As 0.567 0.750 0.000
As 0.068 0.748 0.250
As 0.568 0.252 0.250
As 0.067 0.250 0.500
As 0.568 0.252 0.750
As 0.068 0.748 0.750
H 0.009 0.193 0.000
H 0.509 0.807 0.500

---

! Nd2AsH2 (PBE, relaxed); values from VASP
! Volume in Å³/cell: 189.3
! Total moment in Bohr magnetons per cell: 0.00
! E_tot in eV/atom: -5.00
! SG: No. 70
! Mass density in Mg/m³: 6.4
&SYSTEM
  ibrav = 0, nat = 10, ntyp = 3
/
ATOMIC_SPECIES
Nd 144.24 Nd.upf
As 74.92 As.upf
H 1.01 H.upf
CELL_PARAMETERS angstrom
-1.929 2.436 -5.522
4.539 -4.171 -1.464
-4.674 -2.664 3.111
ATOMIC_POSITIONS crystal
Nd 0.161 0.339 0.750
Nd 0.411 0.089 0.250
Nd 0.589 0.911 0.750
Nd 0.839 0.661 0.250
As 0.875 0.625 0.750
As 0.125 0.375 0.250
H 0.255 0.005 0.510
H 0.505 0.755 0.010
H 0.745 0.995 0.490
H 0.495 0.245 0.990

---

! NdAsH (PBE, relaxed); values from VASP
! Volume in Å³/cell: 61.7
! Total moment in Bohr magnetons per cell: 0.00
! SG: No. 107
! E above lowest polymorph in meV per atom: 353.5
! Mass density in Mg/m³: 5.9
&SYSTEM
  ibrav = 0, nat = 3, ntyp = 3
/
ATOMIC_SPECIES
H 1.01 H.upf
As 74.92 As.upf
Nd 144.24 Nd.upf
CELL_PARAMETERS angstrom
-3.863 -0.552 -1.325
0.236 -3.997 0.978
0.566 3.016 3.504
ATOMIC_POSITIONS crystal
H 0.982 0.982 0.964
As 0.231 0.231 0.462
Nd 0.637 0.637 0.274

---

! NdNi2AsH (PBE, relaxed); values from VASP
! Volume in Å³/cell: 139.6
! Total moment in Bohr magnetons per cell: 0.00
! E_tot in eV/atom: -5.52
! SG: No. 63
! Mass density in Mg/m³: 8.0
&SYSTEM
  ibrav = 0, nat = 10, ntyp = 4
/
ATOMIC_SPECIES
Nd 144.24 Nd.upf
Ni 58.69 Ni.upf
As 74.92 As.upf
H 1.01 H.upf
CELL_PARAMETERS angstrom
3.932 0.000 0.000
-1.966 5.238 0.000
0.000 0.000 6.776
ATOMIC_POSITIONS crystal
Nd 0.435 0.871 0.750
Nd 0.565 0.129 0.250
Ni 0.160 0.321 0.942
Ni 0.840 0.679 0.058
Ni 0.160 0.321 0.558
Ni 0.840 0.679 0.442
As 0.719 0.438 0.750
As 0.281 0.562 0.250
H 0.000 0.000 0.000
H 0.000 0.000 0.500

---

! Nd2AsHPd6 (PBE, relaxed); values from VASP
! Volume in Å³/cell: 175.3
! Total moment in Bohr magnetons per cell: 0.00
! E_tot in eV/atom: -5.54
! SG: No. 2
! Mass density in Mg/m³: 9.5
&SYSTEM
  ibrav = 0, nat = 10, ntyp = 4
/
ATOMIC_SPECIES
Nd 144.24 Nd.upf
As 74.92 As.upf
H 1.01 H.upf
Pd 106.42 Pd.upf
CELL_PARAMETERS angstrom
-1.425 -4.944 -2.653
5.399 -3.128 2.983
0.261 -5.613 4.005
ATOMIC_POSITIONS crystal
Nd 0.723 0.272 0.549
Nd 0.277 0.728 0.451
As 0.000 0.000 0.000
H 0.500 0.500 0.000
Pd 0.267 0.230 0.457
Pd 0.764 0.729 0.963
Pd 0.268 0.726 0.959
Pd 0.732 0.274 0.041
Pd 0.236 0.271 0.037
Pd 0.733 0.770 0.543

---

! NdAsHRh (PBE, relaxed); values from VASP
! Volume in Å³/cell: 128.2
! Total moment in Bohr magnetons per cell: 0.00
! E_tot in eV/atom: -5.92
! SG: No. 129
! Mass density in Mg/m³: 8.4
&SYSTEM
  ibrav = 0, nat = 8, ntyp = 4
/
ATOMIC_SPECIES
Nd 144.24 Nd.upf
As 74.92 As.upf
H 1.01 H.upf
Rh 102.91 Rh.upf
CELL_PARAMETERS angstrom
4.099 0.000 0.000
0.000 4.099 0.000
0.000 0.000 7.631
ATOMIC_POSITIONS crystal
Nd 0.500 0.000 0.663
Nd 0.000 0.500 0.337
As 0.000 0.500 0.808
As 0.500 0.000 0.192
H 0.000 0.000 0.500
H 0.500 0.500 0.500
Rh 0.500 0.500 0.000
Rh 0.000 0.000 0.000

---

! NdAsH2Ru (PBE, relaxed); values from VASP
! Volume in Å³/cell: 129.9
! Total moment in Bohr magnetons per cell: 0.00
! E_tot in eV/atom: -5.70
! SG: No. 63
! Mass density in Mg/m³: 8.2
&SYSTEM
  ibrav = 0, nat = 10, ntyp = 4
/
ATOMIC_SPECIES
Nd 144.24 Nd.upf
As 74.92 As.upf
H 1.01 H.upf
Ru 101.07 Ru.upf
CELL_PARAMETERS angstrom
4.044 0.000 0.000
-2.022 5.268 0.000
0.000 0.000 6.099
ATOMIC_POSITIONS crystal
Nd 0.710 0.420 0.750
Nd 0.290 0.580 0.250
As 0.429 0.858 0.750
As 0.571 0.142 0.250
H 0.161 0.321 0.938
H 0.839 0.679 0.062
H 0.161 0.321 0.562
H 0.839 0.679 0.438
Ru 0.000 0.000 0.000
Ru 0.000 0.000 0.500

---

! Nd4AsHS2 (PBE, relaxed); values from VASP
! Volume in Å³/cell: 372.8
! Total moment in Bohr magnetons per cell: 0.00
! E_tot in eV/atom: -5.91
! SG: No. 63
! Mass density in Mg/m³: 6.4
&SYSTEM
  ibrav = 0, nat = 16, ntyp = 4
/
ATOMIC_SPECIES
Nd 144.24 Nd.upf
As 74.92 As.upf
H 1.01 H.upf
S 32.06 S.upf
CELL_PARAMETERS angstrom
-0.765 0.584 -3.937
5.328 -4.528 0.378
-8.895 -10.450 0.178
ATOMIC_POSITIONS crystal
Nd 0.275 0.549 0.121
Nd 0.725 0.451 0.621
Nd 0.725 0.451 0.879
Nd 0.275 0.549 0.379
Nd 0.000 0.000 0.500
Nd 0.000 0.000 0.000
Nd 0.444 0.888 0.750
Nd 0.556 0.112 0.250
As 0.106 0.212 0.750
As 0.894 0.788 0.250
H 0.840 0.681 0.750
H 0.160 0.319 0.250
S 0.365 0.729 0.563
S 0.635 0.271 0.063
S 0.635 0.271 0.437
S 0.365 0.729 0.937

---

! NdScAsH (PBE, relaxed); values from VASP
! Volume in Å³/cell: 147.7
! Total moment in Bohr magnetons per cell: 0.00
! E_tot in eV/atom: -5.75
! SG: No. 129
! Mass density in Mg/m³: 6.0
&SYSTEM
  ibrav = 0, nat = 8, ntyp = 4
/
ATOMIC_SPECIES
Nd 144.24 Nd.upf
Sc 44.96 Sc.upf
As 74.92 As.upf
H 1.01 H.upf
CELL_PARAMETERS angstrom
4.127 0.000 0.000
0.000 4.127 0.000
0.000 0.000 8.675
ATOMIC_POSITIONS crystal
Nd 0.000 0.500 0.851
Nd 0.500 0.000 0.149
Sc 0.000 0.000 0.500
Sc 0.500 0.500 0.500
As 0.500 0.000 0.717
As 0.000 0.500 0.283
H 0.500 0.500 0.000
H 0.000 0.000 0.000

---

! Ni8As2H (PBE, relaxed); values from VASP
! Volume in Å³/cell: 118.0
! Total moment in Bohr magnetons per cell: 0.00
! E_tot in eV/atom: -5.47
! SG: No. 2
! Mass density in Mg/m³: 8.7
&SYSTEM
  ibrav = 0, nat = 11, ntyp = 3
/
ATOMIC_SPECIES
Ni 58.69 Ni.upf
As 74.92 As.upf
H 1.01 H.upf
CELL_PARAMETERS angstrom
4.188 -0.742 -0.512
-1.546 4.361 -1.439
0.715 -0.276 6.862
ATOMIC_POSITIONS crystal
Ni 0.524 0.413 0.149
Ni 0.289 0.959 0.746
Ni 0.287 0.203 0.464
Ni 0.081 0.811 0.059
Ni 0.713 0.797 0.536
Ni 0.711 0.041 0.254
Ni 0.476 0.587 0.851
Ni 0.919 0.189 0.941
As 0.139 0.619 0.322
As 0.861 0.381 0.678
H 0.500 0.000 0.000

---

! NiAsH (PBE, relaxed); values from VASP
! Volume in Å³/cell: 143.6
! Total moment in Bohr magnetons per cell: 0.00
! SG: No. 12
! E above lowest polymorph in meV per atom: 0.0
! Mass density in Mg/m³: 6.2
&SYSTEM
  ibrav = 0, nat = 12, ntyp = 3
/
ATOMIC_SPECIES
Ni 58.69 Ni.upf
As 74.92 As.upf
H 1.01 H.upf
CELL_PARAMETERS angstrom
6.859 0.000 -0.015
0.000 2.776 0.000
-0.985 0.000 7.545
ATOMIC_POSITIONS crystal
Ni 0.336 0.000 0.744
Ni 0.664 0.000 0.256
Ni 0.336 0.500 0.244
Ni 0.664 0.500 0.756
As 0.182 0.000 0.008
As 0.818 0.000 0.992
As 0.182 0.500 0.508
As 0.818 0.500 0.492
H 0.449 0.000 0.342
H 0.551 0.000 0.658
H 0.449 0.500 0.842
H 0.551 0.500 0.158

---

! NiAsH (PBE, relaxed); values from VASP
! Volume in Å³/cell: 136.6
! Total moment in Bohr magnetons per cell: 0.00
! SG: No. 14
! E above lowest polymorph in meV per atom: 96.4
! Mass density in Mg/m³: 6.5
&SYSTEM
  ibrav = 0, nat = 12, ntyp = 3
/
ATOMIC_SPECIES
Ni 58.69 Ni.upf
As 74.92 As.upf
H 1.01 H.upf
CELL_PARAMETERS angstrom
7.119 1.667 0.000
-2.431 4.824 0.000
0.000 0.000 3.558
ATOMIC_POSITIONS crystal
Ni 0.855 0.603 0.441
Ni 0.145 0.397 0.559
Ni 0.145 0.897 0.941
Ni 0.855 0.103 0.059
As 0.343 0.610 0.054
As 0.657 0.890 0.554
As 0.343 0.110 0.446
As 0.657 0.390 0.946
H 0.042 0.629 0.710
H 0.958 0.871 0.210
H 0.042 0.129 0.790
H 0.958 0.371 0.290

---

! Ni8As2H3 (PBE, relaxed); values from VASP
! Volume in Å³/cell: 133.6
! Total moment in Bohr magnetons per cell: 0.00
! SG: No. 12
! E above lowest polymorph in meV per atom: 0.0
! Mass density in Mg/m³: 7.7
&SYSTEM
  ibrav = 0, nat = 13, ntyp = 3
/
ATOMIC_SPECIES
Ni 58.69 Ni.upf
As 74.92 As.upf
H 1.01 H.upf
CELL_PARAMETERS angstrom
-1.000 4.344 -0.308
-1.380 -0.666 -4.905
-4.425 -2.261 4.244
ATOMIC_POSITIONS crystal
Ni 0.884 0.585 0.169
Ni 0.116 0.415 0.831
Ni 0.883 0.088 0.177
Ni 0.117 0.912 0.823
Ni 0.602 0.650 0.803
Ni 0.602 0.152 0.803
Ni 0.398 0.848 0.197
Ni 0.398 0.350 0.197
As 0.292 0.251 0.503
As 0.708 0.749 0.497
H 0.500 0.000 0.000
H 0.000 0.254 0.000
H 0.000 0.746 0.000

---

! NiAsH (PBE, relaxed); values from VASP
! Volume in Å³/cell: 69.9
! Total moment in Bohr magnetons per cell: 0.00
! SG: No. 11
! E above lowest polymorph in meV per atom: 69.6
! Mass density in Mg/m³: 6.4
&SYSTEM
  ibrav = 0, nat = 6, ntyp = 3
/
ATOMIC_SPECIES
Ni 58.69 Ni.upf
As 74.92 As.upf
H 1.01 H.upf
CELL_PARAMETERS angstrom
-1.040 2.197 1.458
-2.616 -1.056 -0.275
1.024 -4.464 7.399
ATOMIC_POSITIONS crystal
Ni 0.252 0.250 0.617
Ni 0.748 0.750 0.383
As 0.247 0.250 0.197
As 0.753 0.750 0.803
H 0.750 0.250 0.500
H 0.250 0.750 0.500